# Ca4Al3CrSiBO14

A relaxed Ca4Al3CrSiBO14 crystal (PBE with a Hubbard U, Alexandria).

Results
Theoretical density: 3077 kg/m³
Spin magnetization: 1.98 μB per cell
Electronic total energy: -175.9 eV/cell

Cell: 5.0634 7.6827 7.7177 Å, 90.71 91.59 90.20°
With the nearest neighbours (Å) after each atom.
Space group P1 (No. 1)
Unique sites:
Ca: 0.0000 0.0000 0.0000  6 O 2.39-2.57
Ca: 0.0093 0.4972 0.7967  6 O 2.37-2.62
Ca: 0.9605 0.3042 0.3434  6 O 2.36-2.62
Ca: 0.9892 0.8224 0.4727  6 O 2.41-2.68
Al: 0.4827 0.1573 0.6476  4 O 1.75-1.80
Al: 0.4897 0.6859 0.1576  4 O 1.75-1.80
Al: 0.5223 0.5227 0.5119  4 O 1.73-1.78
Cr: 0.4510 0.3066 0.0236  4 O 1.73-1.85
Si: 0.5441 0.8121 0.8001  4 O 1.61-1.66
B: 0.4265 0.0216 0.3067  4 O 1.42-1.58
O: 0.1816 0.5210 0.5154  1 Al 1.73
O: 0.2253 0.8132 0.7988  1 Si 1.61
O: 0.2787 0.2343 0.8205  1 Al 1.80, 1 Cr 1.85
O: 0.2891 0.8566 0.2368  1 B 1.53
O: 0.2900 0.0671 0.4739  1 B 1.52
O: 0.2979 0.5186 0.0476  1 Al 1.80, 1 Cr 1.82
O: 0.3066 0.1653 0.1822  1 B 1.58
O: 0.6709 0.6732 0.6623  1 Si 1.64, 1 Al 1.78
O: 0.6778 0.5806 0.3187  2 Al 1.75-1.77
O: 0.6828 0.3303 0.5829  2 Al 1.75-1.77
O: 0.6853 0.9981 0.7496  1 Si 1.65, 1 Al 1.78
O: 0.6894 0.7650 0.9888  1 Si 1.66, 1 Al 1.78
O: 0.7070 0.0187 0.3128  1 B 1.42
O: 0.7917 0.3012 0.0196  1 Cr 1.73